Record 1
# YU3S4 (PBE, optimized geometry)
data_YU3S4
_chemical_formula_sum 'Y2 U6 S8'
_space_group_name_H-M_alt 'C m m m'
_space_group_IT_number 65
_space_group_name_Hall '-C 2 2'
_cell_length_a 7.8011
_cell_length_b 10.9505
_cell_length_c 3.8556
_cell_angle_alpha 90.00
_cell_angle_beta 90.00
_cell_angle_gamma 90.00
loop_
_atom_site_label
_atom_site_fract_x
_atom_site_fract_y
_atom_site_fract_z
_atom_site_occupancy
Y1 0.0000 0.0000 0.0000 1
U1 0.0000 0.5000 0.0000 1
U2 0.2500 0.2500 0.5000 1
S1 0.0000 0.2496 0.0000 1
S2 0.2496 0.0000 0.5000 1
# Crystal system: orthorhombic
# E: -138.0 eV/cell
# Formation energy from raw total energies: -1.521 eV per atom
# M_tot: 13.89 μB per cell

Record 2
# YU2S6 (PBE, optimized geometry)
data_YU2S6
_chemical_formula_sum 'Y1 U2 S6'
_space_group_name_H-M_alt 'P -3'
_space_group_IT_number 147
_space_group_name_Hall '-P 3'
_cell_length_a 7.2122
_cell_length_b 7.2122
_cell_length_c 4.1348
_cell_angle_alpha 90.00
_cell_angle_beta 90.00
_cell_angle_gamma 120.00
loop_
_atom_site_label
_atom_site_fract_x
_atom_site_fract_y
_atom_site_fract_z
_atom_site_occupancy
Y1 0.0000 0.0000 0.0000 1
U1 0.3333 0.6667 0.2257 1
S1 0.0812 0.3843 0.7410 1
# Crystal system: trigonal
# E: -66.8 eV/cell
# Formation energy from raw total energies: -1.446 eV per atom
# M_tot: 3.00 μB per cell